Entry 1:
Material: Hf31GeO64
Method: DFT, PBE
State: optimized geometry

Summary:
Space-group type: P1
Excess energy over the best structure of this formula in the dataset, eV/f.u.: 2.552

abc: 10.0094 10.0628 10.4631
angles: 89.56 89.88 89.67
Closest atoms and distances in Å follow each position.
Fractional positions:
Ge  0.2536  0.3898  0.1557  5 O 1.87-1.98
Hf  0.0117  0.1266  0.1038  7 O 2.07-2.21
Hf  0.5039  0.1264  0.1094  7 O 2.00-2.22
Hf  0.5117  0.6267  0.1095  7 O 2.05-2.21
Hf  0.0134  0.6182  0.1118  7 O 2.03-2.20
Hf  0.7443  0.8771  0.1397  7 O 2.02-2.25
Hf  0.7409  0.3744  0.1416  6 O 2.00-2.23
Hf  0.2408  0.8726  0.1424  6 O 2.02-2.26
Hf  0.2417  0.1285  0.3533  7 O 2.03-2.25
Hf  0.7405  0.1234  0.3566  7 O 2.02-2.23
Hf  0.7420  0.6269  0.3591  7 O 2.03-2.23
Hf  0.2425  0.6264  0.3636  7 O 2.01-2.24
Hf  0.0065  0.3788  0.3897  5 O 2.01-2.13
Hf  0.5088  0.8762  0.3908  7 O 2.03-2.23
Hf  0.0089  0.8761  0.3914  7 O 2.03-2.23
Hf  0.5108  0.3768  0.3919  7 O 2.04-2.23
Hf  0.0075  0.1249  0.6060  7 O 2.04-2.26
Hf  0.5085  0.1243  0.6074  7 O 2.02-2.23
Hf  0.5103  0.6260  0.6104  7 O 2.03-2.23
Hf  0.0086  0.6255  0.6120  7 O 2.02-2.24
Hf  0.2419  0.3753  0.6392  6 O 2.02-2.24
Hf  0.2405  0.8748  0.6413  7 O 2.03-2.22
Hf  0.7416  0.8752  0.6423  7 O 2.03-2.24
Hf  0.7400  0.3729  0.6424  7 O 2.02-2.23
Hf  0.2394  0.1220  0.8551  5 O 2.01-2.14
Hf  0.7385  0.1243  0.8599  7 O 2.03-2.23
Hf  0.2436  0.6219  0.8601  6 O 2.01-2.23
Hf  0.7435  0.6235  0.8605  7 O 2.05-2.23
Hf  0.0077  0.3719  0.8888  5 O 2.00-2.14
Hf  0.5021  0.3771  0.8916  5 O 2.01-2.20
Hf  0.5074  0.8753  0.8920  7 O 2.03-2.24
Hf  0.0091  0.8703  0.8934  7 O 2.03-2.21
O  0.1453  0.9922  0.0072  4 Hf 2.08-2.26
O  0.6416  0.0017  0.0092  4 Hf 2.11-2.23
O  0.6475  0.5014  0.0096  4 Hf 2.09-2.29
O  0.1529  0.4807  0.0209  1 Ge 1.95, 1 Hf 2.18
O  0.9032  0.3017  0.0549  3 Hf 2.00-2.14
O  0.4102  0.8051  0.0594  3 Hf 2.02-2.12
O  0.9116  0.7996  0.0602  3 Hf 2.02-2.15
O  0.3913  0.3099  0.0619  1 Ge 1.87
O  0.8397  0.0558  0.1901  3 Hf 2.07-2.12
O  0.3394  0.0508  0.1911  3 Hf 2.00-2.12
O  0.3412  0.5536  0.1922  1 Ge 1.91, 1 Hf 2.05
O  0.8437  0.5508  0.1954  3 Hf 2.03-2.14
O  0.1224  0.2585  0.2201  1 Ge 1.98, 1 Hf 2.12
O  0.6037  0.2517  0.2412  4 Hf 2.12-2.23
O  0.6068  0.7519  0.2412  4 Hf 2.11-2.23
O  0.1041  0.7506  0.2441  4 Hf 2.12-2.24
O  0.6038  0.0015  0.2569  4 Hf 2.11-2.25
O  0.1026  0.0050  0.2577  4 Hf 2.12-2.27
O  0.6064  0.5022  0.2593  4 Hf 2.10-2.23
O  0.1120  0.5009  0.2625  3 Hf 2.09-2.20, 1 Ge 2.12
O  0.8441  0.3006  0.3061  3 Hf 2.01-2.14
O  0.3400  0.3133  0.3066  1 Ge 1.95, 2 Hf 2.04-2.16
O  0.3411  0.8030  0.3093  3 Hf 2.03-2.13
O  0.8395  0.8069  0.3095  3 Hf 2.03-2.13
O  0.4109  0.0586  0.4378  3 Hf 2.03-2.14
O  0.9086  0.0543  0.4413  3 Hf 2.02-2.12
O  0.9117  0.5576  0.4429  3 Hf 2.03-2.14
O  0.4119  0.5563  0.4435  3 Hf 2.01-2.13
O  0.1412  0.2519  0.4818  4 Hf 2.08-2.31
O  0.6464  0.2504  0.4908  4 Hf 2.12-2.23
O  0.6458  0.7509  0.4924  4 Hf 2.11-2.24
O  0.1458  0.7514  0.4938  4 Hf 2.09-2.24
O  0.1462  0.0016  0.5062  4 Hf 2.12-2.25
O  0.6445  0.9998  0.5076  4 Hf 2.11-2.22
O  0.6464  0.5008  0.5092  4 Hf 2.11-2.23
O  0.1446  0.5021  0.5114  4 Hf 2.08-2.26
O  0.4090  0.3037  0.5556  3 Hf 2.02-2.12
O  0.9089  0.3068  0.5570  3 Hf 2.02-2.13
O  0.4109  0.8064  0.5589  3 Hf 2.03-2.13
O  0.9112  0.8059  0.5595  3 Hf 2.03-2.13
O  0.3398  0.0533  0.6883  3 Hf 2.02-2.13
O  0.8377  0.0564  0.6912  3 Hf 2.04-2.14
O  0.3419  0.5539  0.6928  3 Hf 2.03-2.14
O  0.8411  0.5523  0.6942  3 Hf 2.02-2.15
O  0.1062  0.2507  0.7299  4 Hf 2.07-2.29
O  0.6020  0.2498  0.7407  4 Hf 2.11-2.27
O  0.6059  0.7495  0.7430  4 Hf 2.11-2.24
O  0.1058  0.7485  0.7438  4 Hf 2.10-2.23
O  0.1019  0.9987  0.7569  4 Hf 2.13-2.23
O  0.6046  0.9995  0.7586  4 Hf 2.11-2.23
O  0.6055  0.4993  0.7603  4 Hf 2.11-2.23
O  0.1077  0.4995  0.7621  4 Hf 2.10-2.24
O  0.3382  0.3042  0.8073  3 Hf 2.01-2.14
O  0.8409  0.8026  0.8081  3 Hf 2.03-2.12
O  0.8384  0.3016  0.8084  3 Hf 2.03-2.12
O  0.3390  0.8041  0.8095  3 Hf 2.03-2.13
O  0.4090  0.0565  0.9413  3 Hf 2.03-2.13
O  0.4140  0.5587  0.9426  3 Hf 2.01-2.12
O  0.9049  0.0464  0.9427  3 Hf 2.03-2.16
O  0.9165  0.5552  0.9442  3 Hf 2.05-2.14
O  0.1254  0.2338  0.9704  3 Hf 2.00-2.09
O  0.6343  0.2521  0.9914  4 Hf 2.09-2.27
O  0.6463  0.7514  0.9916  4 Hf 2.12-2.24
O  0.1466  0.7406  0.9946  4 Hf 2.09-2.26

***

Entry 2:
Material: Hf31GeO64
Method: DFT, PBE
State: optimized geometry

Summary:
Space-group type: P1
Excess energy over the best structure of this formula in the dataset, eV/f.u.: 0.000

abc: 10.1752 10.2870 10.5628
angles: 90.12 99.30 90.33
Closest atoms and distances in Å follow each position.
Fractional positions:
Ge  0.7528  0.3873  0.9111  5 O 1.86-2.01
Hf  0.5148  0.3530  0.1018  6 O 2.03-2.26
Hf  0.5133  0.8532  0.1030  7 O 2.02-2.25
Hf  0.0138  0.8533  0.1043  7 O 2.03-2.25
Hf  0.0170  0.3513  0.1077  7 O 2.02-2.22
Hf  0.7379  0.6024  0.1410  6 O 2.04-2.25
Hf  0.2363  0.6039  0.1458  7 O 2.04-2.24
Hf  0.2377  0.1027  0.1464  7 O 2.02-2.24
Hf  0.7377  0.1026  0.1476  7 O 2.03-2.24
Hf  0.5135  0.6464  0.3522  7 O 2.04-2.25
Hf  0.0127  0.6457  0.3550  7 O 2.03-2.24
Hf  0.5133  0.1466  0.3560  7 O 2.03-2.25
Hf  0.0148  0.1440  0.3564  7 O 2.03-2.24
Hf  0.7386  0.3950  0.3938  5 O 2.01-2.13
Hf  0.7354  0.8948  0.3959  7 O 2.02-2.24
Hf  0.2369  0.3961  0.3968  7 O 2.03-2.24
Hf  0.2367  0.8956  0.3973  7 O 2.03-2.24
Hf  0.0133  0.3548  0.6045  7 O 2.02-2.26
Hf  0.5133  0.8560  0.6047  7 O 2.02-2.21
Hf  0.5132  0.3605  0.6051  7 O 2.03-2.27
Hf  0.0113  0.8523  0.6070  7 O 2.05-2.24
Hf  0.7322  0.6009  0.6435  6 O 2.03-2.25
Hf  0.7388  0.1059  0.6460  6 O 2.01-2.25
Hf  0.2352  0.6059  0.6474  7 O 2.03-2.25
Hf  0.2392  0.1052  0.6478  7 O 2.02-2.26
Hf  0.5162  0.6432  0.8501  7 O 2.05-2.22
Hf  0.0145  0.1454  0.8548  7 O 2.04-2.22
Hf  0.5172  0.1507  0.8555  7 O 2.02-2.23
Hf  0.0062  0.6408  0.8561  7 O 2.02-2.26
Hf  0.2383  0.8944  0.8956  7 O 2.04-2.25
Hf  0.7362  0.8974  0.8962  6 O 2.02-2.25
Hf  0.2370  0.3969  0.8962  7 O 2.01-2.25
O  0.6496  0.7424  0.0092  4 Hf 2.11-2.25
O  0.1490  0.7441  0.0103  4 Hf 2.13-2.26
O  0.1501  0.2453  0.0112  4 Hf 2.13-2.24
O  0.6580  0.2461  0.0117  1 Ge 2.12, 3 Hf 2.13-2.23
O  0.8417  0.4542  0.0745  1 Ge 1.94, 2 Hf 2.05-2.06
O  0.3437  0.4621  0.0753  3 Hf 2.04-2.13
O  0.3407  0.9585  0.0772  3 Hf 2.02-2.13
O  0.8408  0.9582  0.0780  3 Hf 2.03-2.13
O  0.9099  0.7081  0.1733  3 Hf 2.03-2.13
O  0.4101  0.2101  0.1734  3 Hf 2.03-2.15
O  0.4078  0.7111  0.1738  3 Hf 2.02-2.12
O  0.9109  0.2081  0.1758  3 Hf 2.02-2.13
O  0.5981  0.4980  0.2308  4 Hf 2.10-2.32
O  0.5980  0.9956  0.2402  4 Hf 2.14-2.24
O  0.0982  0.4953  0.2403  4 Hf 2.11-2.24
O  0.0988  0.9951  0.2406  4 Hf 2.13-2.24
O  0.6528  0.7530  0.2587  4 Hf 2.13-2.25
O  0.6518  0.2530  0.2613  4 Hf 2.11-2.26
O  0.1516  0.7528  0.2615  4 Hf 2.13-2.25
O  0.1534  0.2522  0.2619  4 Hf 2.13-2.22
O  0.8415  0.5372  0.3221  3 Hf 2.01-2.14
O  0.3411  0.5395  0.3256  3 Hf 2.03-2.13
O  0.3411  0.0397  0.3266  3 Hf 2.03-2.13
O  0.8417  0.0381  0.3282  3 Hf 2.02-2.14
O  0.4089  0.2909  0.4237  3 Hf 2.03-2.15
O  0.4087  0.7893  0.4243  3 Hf 2.04-2.14
O  0.9095  0.2876  0.4248  3 Hf 2.03-2.13
O  0.9070  0.7871  0.4264  3 Hf 2.03-2.13
O  0.6000  0.5016  0.4804  4 Hf 2.11-2.25
O  0.5992  0.0039  0.4894  4 Hf 2.13-2.25
O  0.0965  0.5042  0.4896  4 Hf 2.12-2.25
O  0.0985  0.0026  0.4916  4 Hf 2.12-2.26
O  0.6495  0.7456  0.5099  4 Hf 2.13-2.23
O  0.1524  0.2463  0.5120  4 Hf 2.13-2.24
O  0.1500  0.7473  0.5122  4 Hf 2.13-2.24
O  0.6515  0.2469  0.5143  4 Hf 2.11-2.25
O  0.8412  0.4605  0.5744  3 Hf 2.03-2.13
O  0.3426  0.9638  0.5756  3 Hf 2.02-2.13
O  0.3369  0.4608  0.5760  3 Hf 2.03-2.10
O  0.8400  0.9606  0.5785  3 Hf 2.01-2.15
O  0.4024  0.7185  0.6755  3 Hf 2.02-2.16
O  0.4147  0.2118  0.6755  3 Hf 2.03-2.11
O  0.9108  0.2106  0.6757  3 Hf 2.02-2.12
O  0.9053  0.7079  0.6787  3 Hf 2.05-2.10
O  0.5784  0.5167  0.7173  3 Hf 2.04-2.09
O  0.5994  0.0045  0.7394  4 Hf 2.12-2.28
O  0.0994  0.9965  0.7403  4 Hf 2.13-2.25
O  0.0961  0.4962  0.7411  4 Hf 2.12-2.25
O  0.6506  0.7601  0.7591  4 Hf 2.10-2.28
O  0.1533  0.2542  0.7615  4 Hf 2.12-2.26
O  0.1464  0.7520  0.7629  4 Hf 2.13-2.23
O  0.6565  0.2783  0.7725  1 Ge 1.97
O  0.3405  0.5399  0.8261  3 Hf 2.01-2.13
O  0.8416  0.0404  0.8276  3 Hf 2.02-2.14
O  0.3431  0.0409  0.8277  3 Hf 2.04-2.13
O  0.8272  0.5270  0.8284  1 Ge 1.90
O  0.4089  0.7885  0.9235  3 Hf 2.04-2.12
O  0.9055  0.7869  0.9250  3 Hf 2.02-2.14
O  0.4078  0.2883  0.9253  3 Hf 2.02-2.11
O  0.9076  0.2890  0.9258  1 Ge 1.86, 1 Hf 2.05
O  0.6100  0.4924  0.9741  1 Ge 2.01, 1 Hf 2.16
O  0.0986  0.0023  0.9897  4 Hf 2.13-2.24
O  0.5987  0.0041  0.9900  4 Hf 2.15-2.24
O  0.0981  0.5012  0.9907  4 Hf 2.13-2.24

***

Entry 3:
Material: HfGe2PbO7
Method: DFT, PBE
State: optimized geometry

Summary:
Space-group type: C2

abc: 5.6699 5.6699 4.8484
angles: 96.29 96.29 100.84
Closest atoms and distances in Å follow each position.
Fractional positions:
Ge  0.7890  0.7766  0.0673  4 O 1.74-1.80
Ge  0.2234  0.2110  0.9327  4 O 1.74-1.80
Hf  0.6851  0.3149  0.5000  6 O 2.03-2.15
O  0.0867  0.9133  0.0000  2 Ge 1.80
O  0.3697  0.3751  0.2502  1 Ge 1.74
O  0.8577  0.5501  0.2638  1 Ge 1.76
O  0.6624  0.9847  0.2677  1 Ge 1.75
O  0.0153  0.3376  0.7323  1 Ge 1.75
O  0.4499  0.1423  0.7362  1 Ge 1.76
O  0.6249  0.6303  0.7498  1 Ge 1.74
Pb  0.2751  0.7249  0.5000  4 O 2.39-2.48

***

no.,magnetization (μB per atom),calculated volume (Å³/atom),DFT total energy (eV per atom)
1,0.0002,10.98,-10.0207
2,0.0000,11.37,-10.0473
3,0.0001,13.71,-7.3196